This record from Alexandria via LeMat-Bulk describes a relaxed LaY2RhBr crystal. The functional is PBE.

For the uncorrected formation energy, the calculation gives 0.560 eV/atom. The value obtained for the density is 5.0 g/cm3. The calculation puts the total magnetic moment at 0.000 μB/cell. Its density of states at the Fermi level is 1.150 states/eV per atom. The value obtained for the total energy is -4.82 eV/atom.

Lattice parameters (Å, degrees): 5.9220 5.9220 4.7562 90.00 90.00 90.00
Sites, in units of the cell vectors:
1 La 0.0000 0.0000 0.0000
2 Y 0.0000 0.5000 0.0000
3 Y 0.5000 0.0000 0.0000
4 Rh 0.0000 0.0000 0.5000
5 Br 0.5000 0.5000 0.5000